[1]
VASP calculation (SCAN) on a crystal of MnCd2Tc relaxed with PBEsol.

a = 2.7671 Å, b = 2.7671 Å, c = 8.5062 Å
α = 90.00°, β = 90.00°, γ = 90.00°
Positions (direct):
Cd  0.0000  0.0000  0.2454
Cd  0.0000  0.0000  0.7546
Tc  0.5000  0.5000  0.5000
Mn  0.5000  0.5000  0.0000

---

[2]
VASP calculation (SCAN) on a crystal of Pd3PbC relaxed with PBEsol.

a = 4.2223 Å, b = 4.2223 Å, c = 4.2223 Å
α = 90.00°, β = 90.00°, γ = 90.00°
Positions (direct):
Pb  0.5000  0.5000  0.5000
Pd  0.0000  0.5000  0.0000
Pd  0.5000  0.0000  0.0000
Pd  0.0000  0.0000  0.5000
C  0.0000  0.0000  0.0000

---

[3]
VASP calculation (SCAN) on a crystal of Y2RuPt relaxed with PBEsol.

a = 3.8283 Å, b = 3.8283 Å, c = 5.7691 Å
α = 90.00°, β = 90.00°, γ = 90.00°
Positions (direct):
Pt  0.0000  0.0000  0.4469
Y  0.5000  0.5000  0.3178
Y  0.0000  0.0000  0.9327
Ru  0.5000  0.5000  0.8026

---

Number 1: V 65.1 Å³/cell, formation energy 0.287 eV/atom. Number 2: V 75.3 Å³/cell, formation energy 0.209 eV/atom. Number 3: V 84.5 Å³/cell, formation energy -0.559 eV/atom.